## i
K3CdAu2 | the Alexandria database | PBE-GGA | optimized geometry; total magnetization = 0.000 μB/cell; space-group type = P2_1/c (14)
1.0
9.035 0.000 0.000
0.000 10.594 0.000
-3.566 0.000 8.745
K Cd Au
12 4 8
direct
0.108 0.176 0.346 K
0.108 0.324 0.846 K
0.255 0.607 0.645 K
0.255 0.893 0.145 K
0.299 0.038 0.764 K
0.299 0.462 0.264 K
0.701 0.538 0.736 K
0.701 0.962 0.236 K
0.745 0.107 0.855 K
0.745 0.393 0.355 K
0.892 0.676 0.154 K
0.892 0.824 0.654 K
0.471 0.640 0.042 Cd
0.471 0.860 0.542 Cd
0.529 0.140 0.458 Cd
0.529 0.360 0.958 Cd
0.119 0.627 0.934 Au
0.119 0.873 0.434 Au
0.423 0.192 0.139 Au
0.423 0.308 0.639 Au
0.577 0.692 0.361 Au
0.577 0.808 0.861 Au
0.881 0.127 0.566 Au
0.881 0.373 0.066 Au

***

## ii
K3CdAu2 | the Alexandria database | PBE-GGA | optimized geometry; total magnetization = 0.000 μB/cell; space-group type = Cmcm (63)
1.0
5.043 -5.425 0.000
5.043 5.425 0.000
0.000 0.000 7.684
K Cd Au
6 2 4
direct
0.052 0.562 0.250 K
0.074 0.926 0.750 K
0.438 0.948 0.250 K
0.562 0.052 0.750 K
0.926 0.074 0.250 K
0.948 0.438 0.750 K
0.458 0.542 0.750 Cd
0.542 0.458 0.250 Cd
0.280 0.280 0.000 Au
0.280 0.280 0.500 Au
0.720 0.720 0.000 Au
0.720 0.720 0.500 Au

***

Relative energies in meV/atom: i 0; ii 63

***

## i
K2Cd5Au3 | the Alexandria database | PBE-GGA | optimized geometry; total magnetization = 0.000 μB/cell; space-group type = P-4m2 (115)
1.0
4.526 0.000 0.000
0.000 4.526 0.000
0.000 0.000 13.060
K Cd Au
2 5 3
direct
0.000 0.500 0.222 K
0.500 0.000 0.778 K
0.000 0.000 0.500 Cd
0.000 0.500 0.653 Cd
0.500 0.000 0.347 Cd
0.500 0.500 0.000 Cd
0.500 0.500 0.500 Cd
0.000 0.000 0.000 Au
0.000 0.500 0.863 Au
0.500 0.000 0.137 Au

***

## ii
K2Cd5Au3 | the Alexandria database | PBE-GGA | optimized geometry; total magnetization = 0.000 μB/cell; space-group type = Ibam (72)
1.0
-5.733 6.993 3.341
5.733 -6.993 3.341
5.733 6.993 -3.341
K Cd Au
4 10 6
direct
0.146 0.221 0.367 K
0.354 0.721 0.075 K
0.646 0.279 0.925 K
0.854 0.779 0.633 K
0.042 0.750 0.292 Cd
0.087 0.671 0.758 Cd
0.250 0.250 0.000 Cd
0.413 0.171 0.584 Cd
0.458 0.750 0.708 Cd
0.542 0.250 0.292 Cd
0.587 0.829 0.416 Cd
0.750 0.750 0.000 Cd
0.913 0.329 0.242 Cd
0.958 0.250 0.708 Cd
0.147 0.902 0.049 Au
0.250 0.750 0.500 Au
0.353 0.402 0.755 Au
0.647 0.598 0.245 Au
0.750 0.250 0.500 Au
0.853 0.098 0.951 Au

***

Relative energies in meV/atom: i 50; ii 0

***

## i
K4CdAu | the Alexandria database | PBE-GGA | optimized geometry; total magnetization = 0.000 μB/cell; space-group type = F-43m (216)
1.0
0.000 5.277 5.277
5.277 0.000 5.277
5.277 5.277 0.000
K Cd Au
4 1 1
direct
0.124 0.124 0.124 K
0.124 0.124 0.627 K
0.124 0.627 0.124 K
0.627 0.124 0.124 K
0.500 0.500 0.500 Cd
0.750 0.750 0.750 Au

***

## ii
K4CdAu | the Alexandria database | PBE-GGA | optimized geometry; total magnetization = 0.000 μB/cell; space-group type = C2/c (15)
1.0
5.329 -7.915 0.000
5.329 7.915 0.000
-3.345 0.000 6.514
K Cd Au
8 2 2
direct
0.058 0.715 0.921 K
0.221 0.357 0.687 K
0.285 0.942 0.579 K
0.357 0.221 0.187 K
0.643 0.779 0.813 K
0.715 0.058 0.421 K
0.779 0.643 0.313 K
0.942 0.285 0.079 K
0.365 0.635 0.250 Cd
0.635 0.365 0.750 Cd
0.000 0.000 0.250 Au
0.000 0.000 0.750 Au

***

Relative energies in meV/atom: i 354; ii 0

***

## i
KCd3Au | the Alexandria database | PBE-GGA | optimized geometry; total magnetization = 0.000 μB/cell; space-group type = P6_3/mmc (194)
1.0
7.176 0.000 0.000
-3.588 6.214 0.000
0.000 0.000 6.178
K Cd Au
2 6 2
direct
0.333 0.667 0.250 K
0.667 0.333 0.750 K
0.192 0.385 0.750 Cd
0.192 0.808 0.750 Cd
0.385 0.192 0.250 Cd
0.615 0.808 0.750 Cd
0.808 0.192 0.250 Cd
0.808 0.615 0.250 Cd
0.000 0.000 0.000 Au
0.000 0.000 0.500 Au

***

## ii
KCd3Au | the Alexandria database | PBE-GGA | optimized geometry; total magnetization = 0.000 μB/cell; space-group type = Pm-3m (221)
1.0
6.453 0.000 0.000
0.000 6.453 0.000
0.000 0.000 6.453
K Cd Au
1 3 1
direct
0.000 0.000 0.000 K
0.000 0.000 0.500 Cd
0.000 0.500 0.000 Cd
0.500 0.000 0.000 Cd
0.500 0.500 0.500 Au

***

Relative energies in meV/atom: i 0; ii 785